# 1
Entry from the Alexandria database: a geometry-optimized CaTiBiO5 structure (PBE).

Cell lengths 5.8718, 10.8846, 8.6733 Å; angles 90.00, 107.67, 90.00 degrees
Space group P2_1/c (No. 14)
Unique sites:
Ca1 0.0329 0.0979 0.1759 (multiplicity 4)
Ti1 0.3759 0.6198 0.0533 (multiplicity 4)
Bi1 0.4759 0.1008 0.8445 (multiplicity 4)
O1 0.2150 0.7339 0.5067 (multiplicity 4)
O2 0.2248 0.5376 0.1811 (multiplicity 4)
O3 0.2734 0.0362 0.0088 (multiplicity 4)
O4 0.3395 0.2062 0.3384 (multiplicity 4)
O5 0.3527 0.5429 0.8538 (multiplicity 4)

Calculated values
- Fermi-level density of states: 9.65 states/eV/cell
- Total energy: -7.097 eV per atom
- ΔE_f (raw): -2.276 eV/atom

***

# 2
Entry from the Alexandria database: a geometry-optimized SrGe3Au3 structure (PBE).

Cell lengths 7.1619, 7.1619, 7.1619 Å; angles 90.00, 90.00, 90.00 degrees
Space group Pm-3n (No. 223)
Unique sites:
Sr1 0.0000 0.0000 0.0000 (multiplicity 2)
Ge1 0.0000 0.2500 0.5000 (multiplicity 6)
Au1 0.0000 0.5000 0.2500 (multiplicity 6)

Calculated values
- Fermi-level density of states: 7.02 states/eV/cell
- Total energy: -3.798 eV per atom
- Formation enthalpy at 0 K: -0.17 eV per atom
- Polymorph energy (0 for the lowest one): 110.1 meV/atom

***

# 3
Entry from the Alexandria database: a geometry-optimized Pu3Hg2I8 structure (PBE).

Cell lengths 9.0299, 9.0299, 20.8597 Å; angles 90.00, 90.00, 120.00 degrees
Space group P6_3mc (No. 186)
Unique sites:
Pu1 0.1663 0.3327 0.0000 (multiplicity 6)
Hg1 0.3333 0.6667 0.2522 (multiplicity 2)
Hg2 0.3333 0.6667 0.7258 (multiplicity 2)
I1 0.0000 0.0000 0.0890 (multiplicity 2)
I2 0.0110 0.5055 0.0839 (multiplicity 6)
I3 0.1616 0.3231 0.4160 (multiplicity 6)
I4 0.3333 0.6667 0.9125 (multiplicity 2)

Calculated values
- Fermi-level density of states: 85.73 states/eV/cell
- Total energy: -5.216 eV per atom
- ΔE_f (raw): -0.908 eV/atom

***

# 4
Entry from the Alexandria database: a geometry-optimized NdTm2CdC structure (PBE).

Cell lengths 4.8328, 4.8328, 5.2000 Å; angles 90.00, 90.00, 90.00 degrees
Space group P4/mmm (No. 123)
Unique sites:
Nd1 0.0000 0.0000 0.0000 (multiplicity 1)
Tm1 0.0000 0.5000 0.5000 (multiplicity 2)
Cd1 0.5000 0.5000 0.0000 (multiplicity 1)
C1 0.0000 0.0000 0.5000 (multiplicity 1)

Calculated values
- Fermi-level density of states: 5.36 states/eV/cell
- Total energy: -5.048 eV per atom
- Formation enthalpy at 0 K: -0.28 eV per atom

***

# 5
Entry from the Alexandria database: a geometry-optimized Er3Pd12Pb structure (PBE).

Cell lengths 4.1058, 4.1058, 16.4192 Å; angles 90.00, 90.00, 90.00 degrees
Space group P4/mmm (No. 123)
Unique sites:
Er1 0.0000 0.0000 0.0000 (multiplicity 1)
Er2 0.0000 0.0000 0.2488 (multiplicity 2)
Pd1 0.0000 0.5000 0.1250 (multiplicity 4)
Pd2 0.0000 0.5000 0.3748 (multiplicity 4)
Pd3 0.5000 0.5000 0.0000 (multiplicity 1)
Pd4 0.5000 0.5000 0.2512 (multiplicity 2)
Pd5 0.5000 0.5000 0.5000 (multiplicity 1)
Pb1 0.0000 0.0000 0.5000 (multiplicity 1)

Calculated values
- Fermi-level density of states: 9.12 states/eV/cell
- Total energy: -5.732 eV per atom
- Formation enthalpy at 0 K: -0.75 eV per atom

***

# 6
Entry from the Alexandria database: a geometry-optimized ZnBi3Te structure (PBE).

Cell lengths 5.9298, 5.9298, 5.9298 Å; angles 90.00, 90.00, 90.00 degrees
Space group Pm-3m (No. 221)
Unique sites:
Zn1 0.0000 0.0000 0.0000 (multiplicity 1)
Bi1 0.0000 0.5000 0.5000 (multiplicity 3)
Te1 0.5000 0.5000 0.5000 (multiplicity 1)

Calculated values
- Fermi-level density of states: 6.69 states/eV/cell
- Total energy: -2.395 eV per atom
- Polymorph energy (0 for the lowest one): 360.8 meV/atom
- ΔE_f (raw): 0.816 eV/atom

***

# 7
Entry from the Alexandria database: a geometry-optimized Ba2B3SbPt12 structure (PBE).

Cell lengths 7.9885, 7.9885, 19.1693 Å; angles 90.00, 90.00, 120.00 degrees
Space group R-3m (No. 166, hexagonal axes)
Unique sites:
Ba1 0.0000 0.0000 0.1060 (multiplicity 6)
B1 0.0000 0.5000 0.0000 (multiplicity 9)
Sb1 0.0000 0.0000 0.5000 (multiplicity 3)
Pt1 0.0023 0.5011 0.1108 (multiplicity 18)
Pt2 0.0698 0.5349 0.3521 (multiplicity 18)

Calculated values
- Fermi-level density of states: 27.99 states/eV/cell
- Total energy: -5.889 eV per atom
- ΔE_f (raw): -0.306 eV/atom

***

# 8
Entry from the Alexandria database: a geometry-optimized SrMgGe2 structure (PBE).

Cell lengths 3.9193, 6.4737, 8.4324 Å; angles 90.00, 90.00, 90.00 degrees
Space group Amm2 (No. 38)
Unique sites:
Sr1 0.0000 0.0000 0.0000 (multiplicity 2)
Mg1 0.5000 0.0000 0.5835 (multiplicity 2)
Ge1 0.5000 0.1890 0.2937 (multiplicity 4)

Calculated values
- Fermi-level density of states: 2.87 states/eV/cell
- Total energy: -3.382 eV per atom
- Formation enthalpy at 0 K: -0.25 eV per atom

***

# 9
Entry from the Alexandria database: a geometry-optimized BaLa2H structure (PBE).

Cell lengths 3.8297, 3.8297, 30.7840 Å; angles 90.00, 90.00, 120.00 degrees
Space group R-3m (No. 166, hexagonal axes)
Unique sites:
Ba1 0.0000 0.0000 0.0000 (multiplicity 3)
La1 0.0000 0.0000 0.1204 (multiplicity 6)
H1 0.0000 0.0000 0.5000 (multiplicity 3)

Calculated values
- Fermi-level density of states: 16.45 states/eV/cell
- Total energy: -3.813 eV per atom
- Polymorph energy (0 for the lowest one): 27.8 meV/atom

***

# 10
Entry from the Alexandria database: a geometry-optimized Li2HgRh2 structure (PBE).

Cell lengths 7.1067, 7.1067, 3.0029 Å; angles 90.00, 90.00, 90.00 degrees
Space group P4/mbm (No. 127)
Unique sites:
Li1 0.1713 0.3287 0.0000 (multiplicity 4)
Hg1 0.0000 0.0000 0.5000 (multiplicity 2)
Rh1 0.1246 0.6246 0.5000 (multiplicity 4)

Calculated values
- Fermi-level density of states: 6.59 states/eV/cell
- Total energy: -3.758 eV per atom
- Formation enthalpy at 0 K: 0.01 eV per atom
- Polymorph energy (0 for the lowest one): 0.0 meV/atom

***

# 11
Entry from the Alexandria database: a geometry-optimized LiGaHg5 structure (PBE).

Cell lengths 6.0742, 11.1763, 10.3820 Å; angles 90.00, 106.59, 90.00 degrees
Space group C2/c (No. 15)
Unique sites:
Li1 0.0000 0.0337 0.2500 (multiplicity 4)
Ga1 0.0000 0.5000 0.0000 (multiplicity 4)
Hg1 0.0000 0.4212 0.7500 (multiplicity 4)
Hg2 0.0949 0.1335 0.5222 (multiplicity 8)
Hg3 0.2088 0.3054 0.1748 (multiplicity 8)

Calculated values
- Fermi-level density of states: 8.73 states/eV/cell
- Total energy: -0.989 eV per atom
- Formation enthalpy at 0 K: -0.07 eV per atom

***

# 12
Entry from the Alexandria database: a geometry-optimized AlCr2Fe structure (PBE).

Cell lengths 2.5952, 2.5952, 7.1041 Å; angles 90.00, 90.00, 90.00 degrees
Space group P4/mmm (No. 123)
Unique sites:
Al1 0.0000 0.0000 0.0000 (multiplicity 1)
Cr1 0.5000 0.5000 0.2706 (multiplicity 2)
Fe1 0.0000 0.0000 0.5000 (multiplicity 1)

Calculated values
- Fermi-level density of states: 3.24 states/eV/cell
- Total energy: -7.831 eV per atom
- Formation enthalpy at 0 K: 0.03 eV per atom
- Polymorph energy (0 for the lowest one): 173.7 meV/atom